## Mg4Hg3Rh (GGA-PBE)

Data for a geometry-optimized Mg4Hg3Rh structure.

a b c (Å): 3.295 3.295 14.384
angles (deg): 90.00 90.00 90.00
Atoms (fractional coordinates):
Mg1 0.000 0.000 0.099
Mg2 0.000 0.000 0.364
Mg3 0.000 0.000 0.636
Mg4 0.000 0.000 0.901
Hg1 0.500 0.500 0.230
Hg2 0.500 0.500 0.500
Hg3 0.500 0.500 0.770
Rh1 0.500 0.500 0.000

- Total energy: -2.14 eV per atom



## MgHgRh2 (GGA-PBE)

Data for a geometry-optimized MgHgRh2 structure.

a b c (Å): 2.913 3.943 5.754
angles (deg): 90.00 90.00 90.00
Atoms (fractional coordinates):
Mg1 0.000 0.000 0.000
Hg1 0.500 0.500 0.722
Rh1 0.000 0.000 0.459
Rh2 0.500 0.500 0.230

- Total energy: -4.23 eV per atom